# 1
Below is crystalline KAgF3 at its relaxed geometry, with properties calculated at the PBE level.

Properties
Its volume is 175.2 Å³/cell.

Geometry as extended XYZ:
```
10
Lattice="3.693 0.000 0.000 -0.725 6.783 0.000 -1.368 -0.510 6.995" Properties=species:S:1:pos:R:3 pbc="T T T"
K 0.438 0.014 1.729
K 1.162 6.259 5.266
Ag -1.047 3.136 3.498
Ag 1.484 3.392 0.000
F -0.685 5.146 3.743
F 0.175 3.116 1.705
F 0.045 0.857 6.635
F 1.555 5.416 0.360
F 1.425 3.157 5.290
F 2.284 1.127 3.252
```

# 2
Below is crystalline MgPd2I at its relaxed geometry, with properties calculated at the PBE level.

Properties
Its volume is 76.9 Å³/cell. The calculation puts the excess energy over the best structure of this formula in the dataset at 0.0 kJ/mol of atoms.

Geometry as extended XYZ:
```
4
Lattice="0.000 3.376 3.376 3.376 0.000 3.376 3.376 3.376 0.000" Properties=species:S:1:pos:R:3 pbc="T T T"
Mg 0.000 0.000 0.000
Pd 1.688 1.688 1.688
Pd 5.063 5.063 5.063
I 3.376 3.376 3.376
```

# 3
Below is crystalline Rb2YBiO6 at its relaxed geometry, with properties calculated at the PBE level.

Properties
Its volume is 171.2 Å³/cell.

Geometry as extended XYZ:
```
10
Lattice="0.000 4.407 4.407 4.407 0.000 4.407 4.407 4.407 0.000" Properties=species:S:1:pos:R:3 pbc="T T T"
Rb 2.204 2.204 2.204
Rb 6.611 6.611 6.611
Y 0.000 0.000 0.000
Bi 4.407 4.407 4.407
O 4.407 4.407 2.272
O 4.407 2.272 4.407
O 6.542 4.407 4.407
O 2.272 4.407 4.407
O 4.407 6.542 4.407
O 4.407 4.407 6.542
```

So what do the calculations give for E_form (uncorrected)? Going down the list: -1.843; -0.143; -1.525 eV/atom.
So what do the calculations give for uncorrected energy? Going down the list: -3.76; -3.53; -5.73 eV/atom.